A geometry-optimized KCrOs2 structure. Source: Alexandria via LeMat-Bulk, functional PBE.

Structure (CIF):
```
data_KCrOs2
_space_group_name_H-M_alt 'P 1 2/m 1'
_space_group_IT_number 10
_cell_length_a 2.6609
_cell_length_b 3.6019
_cell_length_c 8.1081
_cell_angle_alpha 90.00
_cell_angle_beta 90.29
_cell_angle_gamma 90.00
loop_
_space_group_symop_operation_xyz
'x,y,z'
'-x,-y,-z'
'-x,y,-z'
'x,-y,z'
loop_
_atom_site_label
_atom_site_type_symbol
_atom_site_fract_x
_atom_site_fract_y
_atom_site_fract_z
K1 K 0.0000 0.0000 0.0000
Cr1 Cr 0.0000 0.0000 0.5000
Os1 Os 0.4977 0.5000 0.3443
```

The total magnetic moment is 0.25 Bohr magnetons per cell. As for the density of states at the Fermi level: 0.939 states/eV per atom. As for the calculated formation energy: 83 kJ per mole of atoms. The calculated volume is 77.7 Å³/cell.

---

A geometry-optimized Dy6AgS8 structure. Source: Alexandria via LeMat-Bulk, functional PBE.

Structure (CIF):
```
data_Dy6AgS8
_space_group_name_H-M_alt 'F m -3 m'
_space_group_IT_number 225
_space_group_name_Hall '-F 4 2 3'
_cell_length_a 11.0056
_cell_length_b 11.0056
_cell_length_c 11.0056
_cell_angle_alpha 90.00
_cell_angle_beta 90.00
_cell_angle_gamma 90.00
loop_
_atom_site_label
_atom_site_type_symbol
_atom_site_fract_x
_atom_site_fract_y
_atom_site_fract_z
Dy1 Dy 0.0000 0.2500 0.2500
Ag1 Ag 0.0000 0.0000 0.0000
S1 S 0.0000 0.0000 0.2549
S2 S 0.2500 0.2500 0.2500
```

The total magnetic moment is 0.00 Bohr magnetons per cell. As for the density of states at the Fermi level: 0.321 states/eV per atom. The calculated volume is 1333.0 Å³/cell. For the uncorrected formation energy, the calculation gives -177.4 kJ/mol of atoms.

---

A geometry-optimized Ce3Cd2Pt4 structure. Source: Alexandria via LeMat-Bulk, functional PBE.

Structure (CIF):
```
data_Ce3Cd2Pt4
_space_group_name_H-M_alt 'C 1 2/m 1'
_space_group_IT_number 12
_cell_length_a 9.6960
_cell_length_b 4.5915
_cell_length_c 9.0232
_cell_angle_alpha 90.00
_cell_angle_beta 90.23
_cell_angle_gamma 90.00
loop_
_space_group_symop_operation_xyz
'x,y,z'
'-x,-y,-z'
'-x,y,-z'
'x,-y,z'
'x+1/2,y+1/2,z'
'-x+1/2,-y+1/2,-z'
'-x+1/2,y+1/2,-z'
'x+1/2,-y+1/2,z'
loop_
_atom_site_label
_atom_site_type_symbol
_atom_site_fract_x
_atom_site_fract_y
_atom_site_fract_z
Ce1 Ce 0.0000 0.0000 0.0000
Ce2 Ce 0.1210 0.5000 0.3935
Cd1 Cd 0.1808 0.5000 0.7786
Pt1 Pt 0.0851 0.0000 0.6258
Pt2 Pt 0.1958 0.5000 0.0893
```

The total magnetic moment is 3.44 Bohr magnetons per cell. As for the density of states at the Fermi level: 1.734 states/eV per atom. As for the calculated formation energy: -78 kJ per mole of atoms. The calculated volume is 401.7 Å³/cell.

---

A geometry-optimized BaTiCd2Hg structure. Source: Alexandria via LeMat-Bulk, functional PBE.

Structure (CIF):
```
data_BaTiCd2Hg
_space_group_name_H-M_alt 'P 4/m m m'
_space_group_IT_number 123
_space_group_name_Hall '-P 4 2'
_cell_length_a 6.7671
_cell_length_b 6.7671
_cell_length_c 6.2603
_cell_angle_alpha 90.00
_cell_angle_beta 90.00
_cell_angle_gamma 90.00
loop_
_atom_site_label
_atom_site_type_symbol
_atom_site_fract_x
_atom_site_fract_y
_atom_site_fract_z
Ba1 Ba 0.0000 0.0000 0.0000
Ti1 Ti 0.0000 0.0000 0.5000
Cd1 Cd 0.0000 0.5000 0.0000
Hg1 Hg 0.5000 0.5000 0.5000
```

The total magnetic moment is 3.87 Bohr magnetons per cell. As for the density of states at the Fermi level: 0.729 states/eV per atom. As for the calculated formation energy: 109 kJ per mole of atoms. The calculated volume is 286.7 Å³/cell.

---

A geometry-optimized BaCa2InO structure. Source: Alexandria via LeMat-Bulk, functional PBE.

Structure (CIF):
```
data_BaCa2InO
_space_group_name_H-M_alt 'P 4/m m m'
_space_group_IT_number 123
_space_group_name_Hall '-P 4 2'
_cell_length_a 6.9085
_cell_length_b 6.9085
_cell_length_c 6.0073
_cell_angle_alpha 90.00
_cell_angle_beta 90.00
_cell_angle_gamma 90.00
loop_
_atom_site_label
_atom_site_type_symbol
_atom_site_fract_x
_atom_site_fract_y
_atom_site_fract_z
Ba1 Ba 0.0000 0.0000 0.0000
Ca1 Ca 0.0000 0.5000 0.0000
In1 In 0.0000 0.0000 0.5000
O1 O 0.5000 0.5000 0.5000
```

The total magnetic moment is 0.00 Bohr magnetons per cell. As for the density of states at the Fermi level: 2.381 states/eV per atom. The calculated volume is 286.7 Å³/cell. For the uncorrected formation energy, the calculation gives 120.4 kJ/mol of atoms.

---

A geometry-optimized LaCdI structure. Source: Alexandria via LeMat-Bulk, functional PBE.

Structure (CIF):
```
data_LaCdI
_space_group_name_H-M_alt 'C 1 2/m 1'
_space_group_IT_number 12
_cell_length_a 8.2377
_cell_length_b 4.7554
_cell_length_c 12.1278
_cell_angle_alpha 90.00
_cell_angle_beta 103.15
_cell_angle_gamma 90.00
loop_
_space_group_symop_operation_xyz
'x,y,z'
'-x,-y,-z'
'-x,y,-z'
'x,-y,z'
'x+1/2,y+1/2,z'
'-x+1/2,-y+1/2,-z'
'-x+1/2,y+1/2,-z'
'x+1/2,-y+1/2,z'
loop_
_atom_site_label
_atom_site_type_symbol
_atom_site_fract_x
_atom_site_fract_y
_atom_site_fract_z
La1 La 0.0599 0.0000 0.1786
Cd1 Cd 0.1625 0.5000 0.9876
I1 I 0.2188 0.0000 0.6581
```

The total magnetic moment is 2.24 Bohr magnetons per cell. As for the density of states at the Fermi level: 0.918 states/eV per atom. The calculated volume is 462.6 Å³/cell. For the uncorrected formation energy, the calculation gives -79.5 kJ/mol of atoms.

---

Calculated final energy, -7.439, -6.071, -5.673, -1.263, -1.477, -3.288 eV per atom (same order as the records).